VASP calculation (PBE+U) on an optimized crystal structure of Ca2MnF6.

Cell and atoms, written as POSCAR:
```
Ca2MnF6
1.0
-2.0830 2.0830 8.3103
2.0830 -2.0830 8.3103
2.0830 2.0830 -8.3103
Ca Mn F
2 1 6
Direct
0.1781 0.1781 0.0000 Ca
0.8219 0.8219 0.0000 Ca
0.5000 0.5000 0.0000 Mn
0.1719 0.6572 0.0000 F
0.2500 0.7500 0.5000 F
0.3428 0.3428 0.5147 F
0.6572 0.1719 0.0000 F
0.7500 0.2500 0.5000 F
0.8281 0.8281 0.4854 F
```

Properties
**Excess energy over the best structure of this formula in the dataset**: 115 meV per atom
**Mass density**: 2.868 Mg/m³
**Magnetization**: 5.00 μB per formula unit